# YZrSb2, relaxed, DFT PBE-GGA
# Uncorrected formation energy = -0.821 eV/atom
# Calculated volume = 110.3 Å³/cell
# Crystal system = trigonal
# Calculated total energy = -6.6351 eV per atom
data_YZrSb2
_chemical_formula_sum 'Y1 Zr1 Sb2'
_cell_length_a 4.163
_cell_length_b 4.163
_cell_length_c 7.732
_cell_angle_alpha 74.38
_cell_angle_beta 74.38
_cell_angle_gamma 60.00
_space_group_name_H-M_alt 'P 1'
_space_group_IT_number 1
loop_
_space_group_symop_operation_xyz
'x,y,z'
loop_
_atom_site_label
_atom_site_type_symbol
_atom_site_fract_x
_atom_site_fract_y
_atom_site_fract_z
_atom_site_occupancy
Y1 Y 0.670 0.670 0.991 1
Zr1 Zr 0.498 0.498 0.506 1
Sb1 Sb 0.246 0.246 0.263 1
Sb2 Sb 0.087 0.087 0.740 1